Record 1
ZrAgI2 | PBE-GGA | relaxed

Output
For the mass density, the calculation gives 7.373 g/cm3. Its space group is Fm-3m (225). Its polymorph energy (0 for the lowest one) is 0 meV per atom. The calculated total energy comes out at -14.14 eV/cell.

a = 5.244 Å, b = 5.244 Å, c = 5.244 Å
α = 60.00°, β = 60.00°, γ = 60.00°
Fractional positions:
Zr1 0.000 0.000 0.000
I1 0.750 0.750 0.750
Ag1 0.500 0.500 0.500
I2 0.250 0.250 0.250

=====

Record 2
Zr2AgI | PBE-GGA | relaxed

Output
For the mass density, the calculation gives 5.436 g/cm3. Its space group is I-42d (122). Its polymorph energy (0 for the lowest one) is 627 meV per atom. The calculated total energy comes out at -37.10 eV/cell.

a = 6.031 Å, b = 6.031 Å, c = 8.202 Å
α = 68.43°, β = 68.43°, γ = 90.00°
Fractional positions:
Ag1 0.500 0.500 0.000
Zr1 0.165 0.625 0.250
I1 0.000 0.000 0.000
Zr2 0.585 0.125 0.250
Zr3 0.375 0.415 0.750
Zr4 0.875 0.835 0.750
Ag2 0.250 0.750 0.500
I2 0.750 0.250 0.500

=====

- Which value of polymorph energy (0 for the lowest one) does entry 1 give?
  0 meV per atom

=====

- Which value of polymorph energy (0 for the lowest one) does entry 1 give?
  0 meV per atom